# SmHBr2

Crystalline SmHBr2 at its relaxed geometry (GGA-PBE, Alexandria).

a = 3.944 Å, b = 3.944 Å, c = 7.924 Å
α = 75.55°, β = 75.59°, γ = 60.00°
Element x y z (fractional)
H  0.469  0.232  0.829
Br  0.718  0.480  0.085
Br  0.887  0.651  0.574
Sm  0.136  0.899  0.829

Values from the calculation:
space-group type = No. 160
energy = -4.39 eV/atom
M_tot = 0.000 Bohr magnetons per cell


# Sm2HBr5

Crystalline Sm2HBr5 at its relaxed geometry (GGA-PBE, Alexandria).

a = 3.663 Å, b = 7.523 Å, c = 20.279 Å
α = 90.00°, β = 90.00°, γ = 104.09°
Element x y z (fractional)
Br  0.648  0.297  0.574
Br  0.886  0.772  0.620
Br  0.352  0.703  0.074
Br  0.390  0.780  0.250
H  0.207  0.415  0.250
Sm  0.245  0.489  0.842
Br  0.648  0.297  0.926
Br  0.352  0.703  0.426
Br  0.114  0.228  0.120
Br  0.114  0.228  0.380
Br  0.886  0.772  0.880
Sm  0.755  0.511  0.342
Sm  0.755  0.511  0.158
Br  0.610  0.220  0.750
H  0.793  0.585  0.750
Sm  0.245  0.489  0.658

Values from the calculation:
space-group type = No. 63
energy = -4.04 eV/atom
M_tot = 0.000 Bohr magnetons per cell


# SmHBr

Crystalline SmHBr at its relaxed geometry (GGA-PBE, Alexandria).

a = 3.829 Å, b = 5.743 Å, c = 6.775 Å
α = 90.00°, β = 90.00°, γ = 90.00°
Element x y z (fractional)
Br  0.500  0.500  0.710
Sm  0.000  0.500  0.363
Br  0.000  0.000  0.290
H  0.000  0.000  0.788
H  0.500  0.500  0.212
Sm  0.500  0.000  0.637

Values from the calculation:
space-group type = No. 59
energy = -4.12 eV/atom
M_tot = 0.000 Bohr magnetons per cell


# Sm2H2Br5

Crystalline Sm2H2Br5 at its relaxed geometry (GGA-PBE, Alexandria).

a = 6.717 Å, b = 6.717 Å, c = 9.015 Å
α = 121.33°, β = 94.13°, γ = 101.86°
Last column: magnetic moment on the atom in μB.
Element x y z (fractional)
Sm  0.271  0.729  0.999  0.15
Br  0.065  0.694  0.259  0.01
Br  0.436  0.807  0.741  0.01
Br  0.000  0.000  0.000  0.00
Br  0.564  0.193  0.259  0.01
Sm  0.729  0.271  0.001  0.15
H  0.515  0.545  0.060  0.04
H  0.485  0.455  0.940  0.04
Br  0.935  0.306  0.741  0.01

Values from the calculation:
space-group type = No. 12
energy = -3.96 eV/atom
M_tot = 0.960 Bohr magnetons per cell


# SmHBr3

Crystalline SmHBr3 at its relaxed geometry (GGA-PBE, Alexandria).

a = 7.721 Å, b = 7.712 Å, c = 13.365 Å
α = 90.00°, β = 108.17°, γ = 90.00°
Element x y z (fractional)
Br  0.249  0.750  0.795
Br  0.751  0.994  0.959
H  0.051  0.736  0.259
Br  0.249  0.507  0.051
Br  0.751  0.006  0.459
H  0.051  0.264  0.759
Br  0.249  0.994  0.541
Br  0.249  0.006  0.041
Br  0.249  0.250  0.295
Sm  0.000  0.250  0.417
Br  0.751  0.250  0.205
Br  0.249  0.493  0.551
Sm  0.000  0.750  0.583
H  0.949  0.264  0.741
Br  0.751  0.750  0.705
Sm  0.000  0.750  0.917
H  0.949  0.736  0.241
Sm  0.000  0.250  0.083
Br  0.751  0.493  0.949
Br  0.751  0.507  0.449

Values from the calculation:
space-group type = No. 13
energy = -4.11 eV/atom
M_tot = 0.000 Bohr magnetons per cell


# SmH4Br4

Crystalline SmH4Br4 at its relaxed geometry (GGA-PBE, Alexandria).

a = 3.875 Å, b = 7.346 Å, c = 7.346 Å
α = 86.01°, β = 74.71°, γ = 74.71°
Element x y z (fractional)
H  0.267  0.683  0.282
Br  0.949  0.790  0.812
Br  0.239  0.312  0.710
Br  0.051  0.210  0.188
H  0.451  0.782  0.817
Br  0.761  0.688  0.290
H  0.733  0.317  0.718
H  0.549  0.218  0.183
Sm  0.500  0.500  0.000

Values from the calculation:
space-group type = No. 87
energy = -2.99 eV/atom
M_tot = 0.000 Bohr magnetons per cell


# Sm2HBr3

Crystalline Sm2HBr3 at its relaxed geometry (GGA-PBE, Alexandria).

a = 3.924 Å, b = 9.101 Å, c = 10.466 Å
α = 70.95°, β = 79.20°, γ = 77.55°
Last column: magnetic moment on the atom in μB.
Element x y z (fractional)
Br  0.664  0.684  0.988  0.01
Sm  0.577  0.306  0.540  0.27
Sm  0.861  0.480  0.798  0.22
Br  0.784  0.812  0.620  0.00
H  0.422  0.490  0.666  -0.01
Br  0.039  0.164  0.757  0.00
H  0.578  0.510  0.334  -0.01
Br  0.336  0.316  0.012  0.01
Br  0.216  0.188  0.380  0.00
Sm  0.423  0.694  0.460  0.27
Sm  0.139  0.520  0.202  0.22
Br  0.961  0.836  0.243  0.00

Values from the calculation:
space-group type = No. 12
energy = -4.37 eV/atom
M_tot = 1.817 Bohr magnetons per cell


# Sm2HBr

Crystalline Sm2HBr at its relaxed geometry (GGA-PBE, Alexandria).

a = 3.706 Å, b = 3.706 Å, c = 7.721 Å
α = 76.11°, β = 76.11°, γ = 60.00°
Element x y z (fractional)
Br  0.500  0.500  0.500
Sm  0.272  0.272  0.185
H  0.000  0.000  0.000
Sm  0.728  0.728  0.815

Values from the calculation:
space-group type = No. 166
energy = -4.37 eV/atom
M_tot = 0.000 Bohr magnetons per cell


# SmH2Br

Crystalline SmH2Br at its relaxed geometry (GGA-PBE, Alexandria).

a = 3.863 Å, b = 3.863 Å, c = 10.727 Å
α = 90.00°, β = 90.00°, γ = 120.00°
Element x y z (fractional)
H  0.667  0.333  0.440
Br  0.667  0.333  0.163
H  0.000  0.000  0.365
H  0.333  0.667  0.560
H  0.000  0.000  0.635
Br  0.333  0.667  0.837
Sm  0.667  0.333  0.654
Sm  0.333  0.667  0.346

Values from the calculation:
space-group type = No. 164
energy = -4.35 eV/atom
M_tot = 0.000 Bohr magnetons per cell


# Sm6Tc2HBr3

Crystalline Sm6Tc2HBr3 at its relaxed geometry (GGA-PBE, Alexandria).

a = 6.668 Å, b = 6.668 Å, c = 8.220 Å
α = 98.10°, β = 98.10°, γ = 117.06°
Element x y z (fractional)
Br  0.500  0.500  0.500
Br  0.178  0.822  0.500
Sm  0.401  0.069  0.186
Tc  0.360  0.640  0.000
Sm  0.233  0.233  0.781
Sm  0.069  0.401  0.186
Sm  0.931  0.599  0.814
Tc  0.640  0.360  0.000
Sm  0.767  0.767  0.219
H  0.000  0.000  0.000
Sm  0.599  0.931  0.814
Br  0.822  0.178  0.500

Values from the calculation:
space-group type = No. 12
energy = -5.42 eV/atom
M_tot = 0.000 Bohr magnetons per cell


# SnH2Br3

Crystalline SnH2Br3 at its relaxed geometry (GGA-PBE, Alexandria).

a = 7.539 Å, b = 7.539 Å, c = 6.605 Å
α = 103.15°, β = 103.15°, γ = 95.06°
Element x y z (fractional)
Br  0.606  0.765  0.990
H  0.781  0.463  0.615
H  0.537  0.219  0.885
H  0.219  0.537  0.385
Br  0.765  0.606  0.490
H  0.463  0.781  0.115
Br  0.235  0.394  0.510
Br  0.394  0.235  0.010
Sn  0.024  0.976  0.750
Br  0.771  0.229  0.750
Sn  0.976  0.024  0.250
Br  0.229  0.771  0.250

Values from the calculation:
space-group type = No. 15
energy = -2.86 eV/atom
M_tot = 0.000 Bohr magnetons per cell


# Sn4H2Br

Crystalline Sn4H2Br at its relaxed geometry (GGA-PBE, Alexandria).

a = 5.663 Å, b = 5.663 Å, c = 7.107 Å
α = 66.52°, β = 66.52°, γ = 90.00°
Element x y z (fractional)
Sn  0.000  0.500  0.000
Sn  0.292  0.292  0.416
H  0.538  0.538  0.923
H  0.462  0.462  0.077
Sn  0.708  0.708  0.584
Br  0.000  0.000  0.000
Sn  0.500  0.000  0.000

Values from the calculation:
space-group type = No. 139
energy = -3.01 eV/atom
M_tot = 0.000 Bohr magnetons per cell


Number 1: volume 102.2 Å³ per cell. Number 2: volume 542.0 Å³ per cell. Number 3: volume 149.0 Å³ per cell. Number 4: volume 332.2 Å³ per cell. Number 5: volume 756.1 Å³ per cell. Number 6: volume 194.6 Å³ per cell. Number 7: volume 342.2 Å³ per cell. Number 8: volume 88.2 Å³ per cell. Number 9: volume 138.6 Å³ per cell. Number 10: volume 313.4 Å³ per cell. Number 11: volume 352.1 Å³ per cell. Number 12: volume 188.3 Å³ per cell.